[1]
{"formula": "Tb2YEr2Tm", "functional": "PBE", "state": "optimized geometry", "lattice_angstrom": [[6.959, 0.000, 0.000], [0.000, 5.581, 0.000], [0.000, 0.000, 9.629]], "species": ["Tb", "Tb", "Tb", "Tb", "Y", "Y", "Er", "Er", "Er", "Er", "Tm", "Tm"], "fractional_positions": [[0.000, 0.000, 0.000], [0.250, 0.500, 0.171], [0.500, 0.000, 0.000], [0.750, 0.500, 0.829], [0.000, 0.500, 0.500], [0.500, 0.500, 0.500], [0.250, 0.000, 0.330], [0.250, 0.500, 0.838], [0.750, 0.000, 0.670], [0.750, 0.500, 0.162], [0.250, 0.000, 0.663], [0.750, 0.000, 0.337]], "dft_energy_ev_per_cell": -57.774, "formation_enthalpy_0k_kcal_per_mol_atoms": 1.671, "magmom_total_mub_per_cell": 0.00, "space_group": "Pmma, No. 51"}

=====

[2]
{"formula": "CaNd4Dy6", "functional": "PBE", "state": "optimized geometry", "lattice_angstrom": [[-3.901, 3.901, 6.601], [3.901, -3.901, 6.601], [3.901, 3.901, -6.601]], "species": ["Ca", "Nd", "Nd", "Nd", "Nd", "Dy", "Dy", "Dy", "Dy", "Dy", "Dy"], "fractional_positions": [[0.000, 0.000, 0.000], [0.056, 0.056, 0.493], [0.436, 0.944, 0.000], [0.564, 0.564, 0.507], [0.944, 0.436, 0.000], [0.000, 0.500, 0.500], [0.263, 0.582, 0.000], [0.418, 0.418, 0.682], [0.500, 0.000, 0.500], [0.582, 0.263, 0.000], [0.737, 0.737, 0.318]], "dft_energy_ev_per_cell": -44.664, "formation_enthalpy_0k_kcal_per_mol_atoms": 8.431, "magmom_total_mub_per_cell": 0.00, "space_group": "I-42m, No. 121"}

=====

[3]
{"formula": "SrEr2Os", "functional": "PBE", "state": "optimized geometry", "lattice_angstrom": [[3.441, 0.000, 0.000], [0.000, 3.441, 0.000], [0.000, 0.000, 9.915]], "species": ["Sr", "Er", "Er", "Os"], "fractional_positions": [[0.000, 0.000, 0.000], [0.500, 0.500, 0.338], [0.500, 0.500, 0.662], [0.000, 0.000, 0.500]], "dft_energy_ev_per_cell": -22.519, "formation_enthalpy_0k_kcal_per_mol_atoms": -2.775, "magmom_total_mub_per_cell": 0.00, "space_group": "P4/mmm, No. 123"}

=====

[4]
{"formula": "Nd2GeSb3Rh4", "functional": "PBE", "state": "optimized geometry", "lattice_angstrom": [[4.446, 0.000, 0.000], [0.000, 4.446, 0.000], [0.000, 0.000, 10.545]], "species": ["Nd", "Nd", "Ge", "Sb", "Sb", "Sb", "Rh", "Rh", "Rh", "Rh"], "fractional_positions": [[0.000, 0.500, 0.242], [0.500, 0.000, 0.758], [0.500, 0.500, 0.000], [0.000, 0.000, 0.000], [0.000, 0.500, 0.636], [0.500, 0.000, 0.364], [0.000, 0.000, 0.500], [0.000, 0.500, 0.880], [0.500, 0.000, 0.120], [0.500, 0.500, 0.500]], "dft_energy_ev_per_cell": -64.145, "formation_energy_uncorrected_ev_per_atom": -0.822, "magmom_total_mub_per_cell": 0.00, "space_group": "P-4m2, No. 115"}

=====

[5]
{"formula": "TiHgRh2", "functional": "PBE", "state": "optimized geometry", "lattice_angstrom": [[-3.502, 3.502, 2.857], [3.502, -3.502, 2.857], [3.502, 3.502, -2.857]], "species": ["Ti", "Ti", "Hg", "Hg", "Rh", "Rh", "Rh", "Rh"], "fractional_positions": [[0.000, 0.000, 0.000], [0.750, 0.250, 0.500], [0.250, 0.750, 0.500], [0.500, 0.500, 0.000], [0.085, 0.125, 0.460], [0.375, 0.915, 0.040], [0.665, 0.625, 0.540], [0.875, 0.335, 0.960]], "dft_energy_ev_per_cell": -46.590, "formation_enthalpy_0k_kcal_per_mol_atoms": -2.278, "magmom_total_mub_per_cell": 0.00, "space_group": "I-42d, No. 122"}

=====

[6]
{"formula": "Rb2PdPbF6", "functional": "PBE", "state": "optimized geometry", "lattice_angstrom": [[0.000, 4.612, 4.612], [4.612, 0.000, 4.612], [4.612, 4.612, 0.000]], "species": ["Rb", "Rb", "Pd", "Pb", "F", "F", "F", "F", "F", "F"], "fractional_positions": [[0.250, 0.250, 0.250], [0.750, 0.750, 0.750], [0.000, 0.000, 0.000], [0.500, 0.500, 0.500], [0.239, 0.239, 0.761], [0.239, 0.761, 0.239], [0.239, 0.761, 0.761], [0.761, 0.239, 0.239], [0.761, 0.239, 0.761], [0.761, 0.761, 0.239]], "dft_energy_ev_per_cell": -43.669, "formation_energy_uncorrected_ev_per_atom": -2.160, "magmom_total_mub_per_cell": 2.00, "space_group": "Fm-3m, No. 225"}